Crystalline Cd4NiBr at its relaxed geometry, computed with PBE.

Cell: 5.8237 5.8237 5.8237 Å, 60.00 60.00 60.00°
Fractional positions:
1 Ni 0.7500 0.7500 0.7500
2 Cd 0.3758 0.3758 0.8727
3 Cd 0.3758 0.3758 0.3758
4 Cd 0.8727 0.3758 0.3758
5 Br 0.0000 0.0000 0.0000
6 Cd 0.3758 0.8727 0.3758

The value obtained for the total energy is -8.8 eV/f.u. The value obtained for the energy relative to the elements, uncorrected is 0.393 eV/atom. The density of states at the Fermi level is 0.84 states/eV/atom. The calculation puts the volume at 23.3 Å³ per atom.